Record 1
PrTlHg6 PBE relaxed; magnetic moment = 0.00 μB/f.u.; formation energy = -0.187 eV/atom; calculated volume = 26.67 Å³ per atom
1.0
5.2405 0.0000 0.0000
0.0000 3.4293 5.9364
0.0000 -3.4293 5.9364
Pr Tl Hg
1 1 6
Direct
0.0000 0.0000 0.0000
0.5000 0.3341 0.3341
0.0000 0.5063 0.9879
0.0000 0.5076 0.5076
0.0000 0.9879 0.5063
0.5000 0.3374 0.8323
0.5000 0.8312 0.8312
0.5000 0.8323 0.3374

=====

Record 2
Pr7TlHg4 PBE relaxed; magnetic moment = 0.00 μB/f.u.; formation energy = -0.247 eV/atom; calculated volume = 31.31 Å³ per atom
1.0
7.5677 -3.0161 0.0000
7.5677 3.0161 0.0000
-4.8241 0.0000 8.2312
Pr Tl Hg
7 1 4
Direct
0.0000 0.0000 0.0000
0.2260 0.2260 0.6825
0.3194 0.3194 0.1168
0.4316 0.4316 0.6023
0.5684 0.5684 0.3977
0.6806 0.6806 0.8832
0.7740 0.7740 0.3175
0.5000 0.5000 0.0000
0.0276 0.0276 0.6911
0.1974 0.1974 0.3333
0.8026 0.8026 0.6667
0.9724 0.9724 0.3089

=====

Record 3
Pr5Tl2Hg2 PBE relaxed; magnetic moment = 0.00 μB/f.u.; formation energy = -0.335 eV/atom; calculated volume = 32.08 Å³ per atom
1.0
8.5211 -4.4403 0.0000
8.5211 4.4403 0.0000
0.0000 0.0000 7.6318
Pr Tl Hg
10 4 4
Direct
0.0000 0.0000 0.0000
0.0455 0.6745 0.6589
0.1745 0.5455 0.1589
0.3255 0.9545 0.6589
0.4545 0.8255 0.1589
0.5000 0.5000 0.5000
0.5455 0.1745 0.8411
0.6745 0.0455 0.3411
0.8255 0.4545 0.8411
0.9545 0.3255 0.3411
0.2093 0.2093 0.0000
0.2907 0.2907 0.5000
0.7093 0.7093 0.5000
0.7907 0.7907 0.0000
0.1386 0.8614 0.3807
0.3614 0.6386 0.8807
0.6386 0.3614 0.1193
0.8614 0.1386 0.6193

=====

Record 4
PrTlHg2 PBE relaxed; magnetic moment = 0.00 μB/f.u.; formation energy = -0.347 eV/atom; calculated volume = 26.92 Å³ per atom
1.0
-2.5137 2.5137 4.2596
2.5137 -2.5137 4.2596
2.5137 2.5137 -4.2596
Pr Tl Hg
1 1 2
Direct
0.0000 0.0000 0.0000
0.5000 0.5000 0.0000
0.2500 0.7500 0.5000
0.7500 0.2500 0.5000